The following is a DFT calculation (PBE) of a relaxed structure of Tb8Nd3Dy4.

```
Tb8Nd3Dy4
1.0
6.731 -6.402 0.000
6.731 6.402 0.000
-3.411 0.000 5.859
Tb Nd Dy
8 3 4
direct
0.143 0.857 0.000
0.229 0.229 0.007
0.241 0.241 0.496
0.247 0.753 0.500
0.753 0.247 0.500
0.759 0.759 0.504
0.771 0.771 0.993
0.857 0.143 0.000
0.000 0.000 0.500
0.000 0.500 0.000
0.500 0.000 0.000
0.000 0.500 0.500
0.500 0.000 0.500
0.500 0.500 0.000
0.500 0.500 0.500
```

* ΔH_f (0 K): 0.384 eV/atom
* E: -64.00 eV per cell

---

The following is a DFT calculation (PBE) of a relaxed structure of Tb3Nd4Dy8.

```
Tb3Nd4Dy8
1.0
6.728 -6.420 0.000
6.728 6.420 0.000
-3.403 0.000 5.867
Tb Nd Dy
3 4 8
direct
0.000 0.000 0.000
0.000 0.500 0.500
0.500 0.000 0.500
0.000 0.500 0.000
0.500 0.000 0.000
0.500 0.500 0.000
0.500 0.500 0.500
0.139 0.861 0.500
0.229 0.229 0.962
0.233 0.233 0.488
0.244 0.756 0.000
0.756 0.244 0.000
0.767 0.767 0.512
0.771 0.771 0.038
0.861 0.139 0.500
```

* ΔH_f (0 K): 0.364 eV/atom
* E: -64.32 eV per cell
* energy above the lowest structure with this stoichiometry: 3.65 eV per formula unit

---

The following is a DFT calculation (PBE) of a relaxed structure of Tb5Nd4Dy3.

```
Tb5Nd4Dy3
1.0
8.096 -2.975 0.000
8.096 2.975 0.000
-4.197 0.000 8.406
Tb Nd Dy
5 4 3
direct
0.000 0.000 0.000
0.328 0.328 0.613
0.428 0.428 0.299
0.572 0.572 0.701
0.672 0.672 0.387
0.083 0.083 0.444
0.216 0.216 0.881
0.784 0.784 0.119
0.917 0.917 0.556
0.210 0.210 0.233
0.500 0.500 0.000
0.790 0.790 0.767
```

* ΔH_f (0 K): 0.223 eV/atom
* E: -53.35 eV per cell

---

The following is a DFT calculation (PBE) of a relaxed structure of Tb3NdDy4.

```
Tb3NdDy4
1.0
11.736 -1.735 0.000
11.736 1.735 0.000
-1.921 0.000 6.442
Tb Nd Dy
3 1 4
direct
0.000 0.000 0.000
0.126 0.126 0.871
0.874 0.874 0.129
0.500 0.500 0.500
0.126 0.126 0.381
0.260 0.260 0.262
0.740 0.740 0.738
0.874 0.874 0.619
```

* ΔH_f (0 K): 0.172 eV/atom
* E: -35.69 eV per cell
* energy above the lowest structure with this stoichiometry: 1.26 eV per formula unit

---

The following is a DFT calculation (PBE) of a relaxed structure of Tb6NdDy.

```
Tb6NdDy
1.0
5.020 -3.428 0.000
5.020 3.428 0.000
-2.049 0.000 8.238
Tb Nd Dy
6 1 1
direct
0.042 0.567 0.198
0.127 0.127 0.424
0.433 0.958 0.802
0.567 0.042 0.198
0.873 0.873 0.576
0.958 0.433 0.802
0.500 0.500 0.500
0.500 0.500 0.000
```

* ΔH_f (0 K): 0.367 eV/atom
* E: -34.21 eV per cell
* energy above the lowest structure with this stoichiometry: 2.78 eV per formula unit

---

The following is a DFT calculation (PBE) of a relaxed structure of Tb3Nd5Dy2.

```
Tb3Nd5Dy2
1.0
-4.725 6.869 5.510
4.725 -6.869 5.510
4.725 6.869 -5.510
Tb Nd Dy
6 10 4
direct
0.124 0.748 0.872
0.250 0.250 0.000
0.376 0.248 0.625
0.624 0.752 0.375
0.750 0.750 0.000
0.876 0.252 0.128
0.003 0.250 0.753
0.129 0.396 0.525
0.250 0.750 0.500
0.371 0.896 0.268
0.497 0.250 0.247
0.503 0.750 0.753
0.629 0.104 0.732
0.750 0.250 0.500
0.871 0.604 0.475
0.997 0.750 0.247
0.121 0.087 0.207
0.379 0.587 0.966
0.621 0.413 0.034
0.879 0.913 0.793
```

* ΔH_f (0 K): 0.368 eV/atom
* E: -86.50 eV per cell
* energy above the lowest structure with this stoichiometry: 1.89 eV per formula unit

---

The following is a DFT calculation (PBE) of a relaxed structure of Tb2Nd7Dy3.

```
Tb2Nd7Dy3
1.0
2.772 -16.241 0.000
2.772 16.241 0.000
0.000 0.000 4.693
Tb Nd Dy
2 7 3
direct
0.160 0.840 0.000
0.840 0.160 0.000
0.000 0.000 0.000
0.079 0.921 0.500
0.264 0.736 0.000
0.417 0.583 0.000
0.583 0.417 0.000
0.736 0.264 0.000
0.921 0.079 0.500
0.342 0.658 0.500
0.500 0.500 0.500
0.658 0.342 0.500
```

* ΔH_f (0 K): 0.256 eV/atom
* E: -53.37 eV per cell
* energy above the lowest structure with this stoichiometry: 2.24 eV per formula unit

---

The following is a DFT calculation (PBE) of a relaxed structure of Tb2Nd3Dy.

```
Tb2Nd3Dy
1.0
5.450 -3.147 0.000
5.450 3.147 0.000
0.000 0.000 11.674
Tb Nd Dy
4 6 2
direct
0.000 0.333 0.250
0.000 0.667 0.750
0.333 0.000 0.750
0.667 0.000 0.250
0.000 0.000 0.000
0.000 0.000 0.500
0.334 0.334 0.000
0.334 0.334 0.500
0.666 0.666 0.000
0.666 0.666 0.500
0.333 0.667 0.250
0.667 0.333 0.750
```

* ΔH_f (0 K): -0.004 eV/atom
* E: -56.38 eV per cell
* energy above the lowest structure with this stoichiometry: 0.00 eV per formula unit

---

The following is a DFT calculation (PBE) of a relaxed structure of Tb7NdDy5.

```
Tb7NdDy5
1.0
-3.338 5.582 5.794
3.338 -5.582 5.794
3.338 5.582 -5.794
Tb Nd Dy
7 1 5
direct
0.000 0.000 0.000
0.078 0.748 0.330
0.305 0.305 0.000
0.418 0.748 0.670
0.497 0.997 0.500
0.579 0.249 0.330
0.919 0.249 0.670
0.697 0.697 0.000
0.000 0.500 0.500
0.268 0.264 0.536
0.268 0.732 0.004
0.728 0.264 0.996
0.728 0.732 0.464
```

* ΔH_f (0 K): 0.246 eV/atom
* E: -57.00 eV per cell

---

The following is a DFT calculation (PBE) of a relaxed structure of Tb3NdDy.

```
Tb3NdDy
1.0
3.623 0.000 0.000
0.000 11.607 0.000
-1.754 0.000 8.409
Tb Nd Dy
6 2 2
direct
0.153 0.250 0.358
0.340 0.000 0.688
0.340 0.500 0.688
0.660 0.000 0.312
0.660 0.500 0.312
0.847 0.750 0.642
0.422 0.250 0.013
0.578 0.750 0.987
0.193 0.750 0.325
0.807 0.250 0.675
```

* ΔH_f (0 K): 0.293 eV/atom
* E: -43.59 eV per cell
* energy above the lowest structure with this stoichiometry: 1.38 eV per formula unit

---

The following is a DFT calculation (PBE) of a relaxed structure of Tb7Nd2Dy.

```
Tb7Nd2Dy
1.0
6.206 0.000 0.000
2.070 6.853 0.000
2.064 1.237 7.635
Tb Nd Dy
7 2 1
direct
0.000 0.000 0.000
0.200 0.800 0.601
0.399 0.101 0.198
0.399 0.601 0.198
0.601 0.399 0.802
0.601 0.899 0.802
0.800 0.200 0.399
0.201 0.299 0.601
0.799 0.701 0.399
0.000 0.500 0.000
```

* ΔH_f (0 K): 0.015 eV/atom
* E: -46.40 eV per cell
* energy above the lowest structure with this stoichiometry: 0.00 eV per formula unit

---

The following is a DFT calculation (PBE) of a relaxed structure of Tb5Nd2Dy3.

```
Tb5Nd2Dy3
1.0
5.335 -8.016 0.000
5.335 8.016 0.000
-5.305 0.000 7.784
Tb Nd Dy
10 4 6
direct
0.029 0.971 0.750
0.110 0.349 0.714
0.225 0.775 0.750
0.269 0.731 0.250
0.349 0.110 0.214
0.651 0.890 0.786
0.731 0.269 0.750
0.775 0.225 0.250
0.890 0.651 0.286
0.971 0.029 0.250
0.233 0.487 0.453
0.487 0.233 0.953
0.513 0.767 0.047
0.767 0.513 0.547
0.037 0.279 0.048
0.279 0.037 0.548
0.478 0.522 0.250
0.522 0.478 0.750
0.721 0.963 0.452
0.963 0.721 0.952
```

* ΔH_f (0 K): 0.193 eV/atom
* E: -89.12 eV per cell
* energy above the lowest structure with this stoichiometry: 0.00 eV per formula unit

---

The following is a DFT calculation (PBE) of a relaxed structure of Tb5Nd2Dy.

```
Tb5Nd2Dy
1.0
6.131 0.000 0.000
-1.385 8.948 0.000
-1.752 -3.354 9.701
Tb Nd Dy
10 4 2
direct
0.035 0.035 0.174
0.093 0.663 0.951
0.199 0.371 0.473
0.343 0.304 0.857
0.454 0.924 0.639
0.546 0.076 0.361
0.657 0.696 0.143
0.801 0.629 0.527
0.907 0.337 0.049
0.965 0.965 0.826
0.205 0.684 0.308
0.485 0.358 0.216
0.515 0.642 0.784
0.795 0.316 0.692
0.000 0.000 0.500
0.500 0.000 0.000
```

* ΔH_f (0 K): 0.122 eV/atom
* E: -72.62 eV per cell
* energy above the lowest structure with this stoichiometry: 0.85 eV per formula unit

---

The following is a DFT calculation (PBE) of a relaxed structure of Tb4NdDy.

```
Tb4NdDy
1.0
3.371 -6.038 0.000
3.371 6.038 0.000
0.000 0.000 9.765
Tb Nd Dy
8 2 2
direct
0.137 0.344 0.750
0.154 0.846 0.570
0.154 0.846 0.930
0.344 0.137 0.250
0.656 0.863 0.750
0.846 0.154 0.070
0.846 0.154 0.430
0.863 0.656 0.250
0.322 0.678 0.250
0.678 0.322 0.750
0.500 0.500 0.000
0.500 0.500 0.500
```

* ΔH_f (0 K): 0.246 eV/atom
* E: -52.83 eV per cell
* energy above the lowest structure with this stoichiometry: 1.38 eV per formula unit

---

The following is a DFT calculation (PBE) of a relaxed structure of TbNd2Dy.

```
TbNd2Dy
1.0
3.620 0.000 0.000
0.000 3.620 0.000
0.000 0.000 10.205
Tb Nd Dy
1 2 1
direct
0.000 0.000 0.000
0.500 0.500 0.251
0.500 0.500 0.749
0.000 0.000 0.500
```

* ΔH_f (0 K): 0.018 eV/atom
* E: -18.70 eV per cell
* energy above the lowest structure with this stoichiometry: 0.03 eV per formula unit

---

The following is a DFT calculation (PBE) of a relaxed structure of Tb6Nd5Dy.

```
Tb6Nd5Dy
1.0
3.130 -5.419 0.000
3.130 5.419 0.000
-2.078 0.000 11.738
Tb Nd Dy
6 5 1
direct
0.083 0.416 0.249
0.250 0.250 0.751
0.416 0.083 0.249
0.584 0.917 0.751
0.750 0.750 0.249
0.917 0.584 0.751
0.167 0.833 0.500
0.333 0.667 0.000
0.500 0.500 0.500
0.667 0.333 0.000
0.833 0.167 0.500
0.000 0.000 0.000
```

* ΔH_f (0 K): 0.012 eV/atom
* E: -56.07 eV per cell

---

The following is a DFT calculation (PBE) of a relaxed structure of Tb2Nd3Dy5.

```
Tb2Nd3Dy5
1.0
-5.658 8.896 3.352
5.658 -8.896 3.352
5.658 8.896 -3.352
Tb Nd Dy
4 6 10
direct
0.029 0.236 0.265
0.471 0.736 0.207
0.529 0.264 0.793
0.971 0.764 0.735
0.172 0.712 0.885
0.250 0.250 0.000
0.328 0.212 0.540
0.672 0.788 0.460
0.750 0.750 0.000
0.828 0.288 0.115
0.069 0.250 0.819
0.169 0.407 0.576
0.250 0.750 0.500
0.331 0.907 0.238
0.431 0.250 0.181
0.569 0.750 0.819
0.669 0.093 0.762
0.750 0.250 0.500
0.831 0.593 0.424
0.931 0.750 0.181
```

* ΔH_f (0 K): 0.256 eV/atom
* E: -88.04 eV per cell
* energy above the lowest structure with this stoichiometry: 0.65 eV per formula unit

---

The following is a DFT calculation (PBE) of a relaxed structure of TbNd2Dy2.

```
TbNd2Dy2
1.0
-1.825 2.872 15.992
1.825 -2.872 15.992
1.825 2.872 -15.992
Tb Nd Dy
2 4 4
direct
0.331 0.081 0.250
0.669 0.919 0.750
0.128 0.378 0.750
0.227 0.477 0.750
0.773 0.523 0.250
0.872 0.622 0.250
0.041 0.791 0.250
0.447 0.697 0.750
0.553 0.303 0.250
0.959 0.209 0.750
```

* ΔH_f (0 K): 0.131 eV/atom
* E: -45.43 eV per cell
* energy above the lowest structure with this stoichiometry: 0.55 eV per formula unit

---

The following is a DFT calculation (PBE) of a relaxed structure of TbNd12Dy5.

```
TbNd12Dy5
1.0
7.703 -7.722 0.000
7.703 7.722 0.000
0.000 0.000 5.151
Tb Nd Dy
1 12 5
direct
0.000 0.000 0.000
0.001 0.668 0.000
0.165 0.165 0.500
0.168 0.502 0.500
0.332 0.999 0.000
0.335 0.335 0.000
0.498 0.832 0.500
0.502 0.168 0.500
0.665 0.665 0.000
0.668 0.001 0.000
0.832 0.498 0.500
0.835 0.835 0.500
0.999 0.332 0.000
0.167 0.833 0.500
0.333 0.667 0.000
0.500 0.500 0.500
0.667 0.333 0.000
0.833 0.167 0.500
```

* ΔH_f (0 K): 0.018 eV/atom
* E: -84.53 eV per cell

---

The following is a DFT calculation (PBE) of a relaxed structure of Tb3Nd4Dy5.

```
Tb3Nd4Dy5
1.0
8.077 -2.975 0.000
8.077 2.975 0.000
-4.185 0.000 8.402
Tb Nd Dy
3 4 5
direct
0.000 0.000 0.000
0.289 0.289 0.766
0.711 0.711 0.234
0.285 0.285 0.119
0.416 0.416 0.555
0.584 0.584 0.445
0.715 0.715 0.881
0.072 0.072 0.700
0.172 0.172 0.386
0.500 0.500 0.000
0.828 0.828 0.614
0.928 0.928 0.300
```

* ΔH_f (0 K): 0.224 eV/atom
* E: -53.29 eV per cell